! P2S3 (SCAN, single point on PBEsol structure); values from VASP
! - Symmetry: No. 31
! - ΔE to the lowest computed polymorph: 445 meV per atom
&SYSTEM
  ibrav = 0, nat = 10, ntyp = 2
/
ATOMIC_SPECIES
P 30.97 P.upf
S 32.06 S.upf
CELL_PARAMETERS angstrom
-2.4260 2.4556 4.3772
-6.7120 -9.5661 1.6465
2.2094 -1.2215 1.9098
ATOMIC_POSITIONS angstrom
P -1.0537 -0.1693 6.3200
P -3.5335 -2.3528 2.6209
P -5.3742 -4.9762 3.0724
P -5.9249 -7.1119 7.5150
S -5.3703 -8.4026 6.0482
S -4.2215 -5.4137 1.4586
S -2.9792 -3.6433 1.1538
S 0.0995 -0.6070 4.7064
S 0.9033 -0.4142 1.2757
S -3.6337 -3.9872 4.3151

=====

! Sb2PS (SCAN, single point on PBEsol structure); values from VASP
! - Symmetry: No. 225
&SYSTEM
  ibrav = 0, nat = 4, ntyp = 3
/
ATOMIC_SPECIES
Sb 121.76 Sb.upf
S 32.06 S.upf
P 30.97 P.upf
CELL_PARAMETERS angstrom
4.8268 0.0000 0.0000
2.4134 4.1801 0.0000
2.4134 1.3934 3.9411
ATOMIC_POSITIONS angstrom
Sb 2.4134 1.3934 0.9853
Sb 7.2402 4.1801 2.9558
S 4.8268 2.7868 1.9705
P 0.0000 0.0000 0.0000

=====

! TaSbPS2 (SCAN, single point on PBEsol structure); values from VASP
! - Symmetry: No. 123
&SYSTEM
  ibrav = 0, nat = 5, ntyp = 4
/
ATOMIC_SPECIES
Sb 121.76 Sb.upf
S 32.06 S.upf
P 30.97 P.upf
Ta 180.95 Ta.upf
CELL_PARAMETERS angstrom
-0.3244 3.4773 -3.2763
-2.2232 -3.0165 -2.9815
-4.3029 1.3422 1.8506
ATOMIC_POSITIONS angstrom
Sb 0.0000 0.0000 0.0000
S -1.1116 -1.5082 -1.4907
S -0.1622 1.7387 -1.6381
P -2.1515 0.6711 0.9253
Ta -3.4253 0.9015 -2.2036

=====

! SbTePS2 (SCAN, single point on PBEsol structure); values from VASP
! - Symmetry: No. 123
&SYSTEM
  ibrav = 0, nat = 5, ntyp = 4
/
ATOMIC_SPECIES
Sb 121.76 Sb.upf
S 32.06 S.upf
Te 127.60 Te.upf
P 30.97 P.upf
CELL_PARAMETERS angstrom
4.8419 0.0000 0.0000
0.0000 4.8419 0.0000
0.0000 0.0000 5.1467
ATOMIC_POSITIONS angstrom
Sb 0.0000 0.0000 0.0000
S 0.0000 2.4210 0.0000
S 2.4210 0.0000 0.0000
Te 2.4210 2.4210 2.5733
P 0.0000 0.0000 2.5733

=====

! SbPWS2 (SCAN, single point on PBEsol structure); values from VASP
! - Symmetry: No. 123
&SYSTEM
  ibrav = 0, nat = 5, ntyp = 4
/
ATOMIC_SPECIES
Sb 121.76 Sb.upf
S 32.06 S.upf
W 183.84 W.upf
P 30.97 P.upf
CELL_PARAMETERS angstrom
4.8044 0.0000 0.0000
0.0000 4.8044 0.0000
0.0000 0.0000 4.9139
ATOMIC_POSITIONS angstrom
Sb 0.0000 0.0000 0.0000
S 0.0000 2.4022 0.0000
S 2.4022 0.0000 0.0000
W 2.4022 2.4022 2.4570
P 0.0000 0.0000 2.4570

=====

! YSbPS2 (SCAN, single point on PBEsol structure); values from VASP
! - Symmetry: No. 123
&SYSTEM
  ibrav = 0, nat = 5, ntyp = 4
/
ATOMIC_SPECIES
Y 88.91 Y.upf
Sb 121.76 Sb.upf
S 32.06 S.upf
P 30.97 P.upf
CELL_PARAMETERS angstrom
5.0379 0.0000 0.0000
0.0000 5.0379 0.0000
0.0000 0.0000 5.2697
ATOMIC_POSITIONS angstrom
Y 0.0000 0.0000 0.0000
Sb 2.5189 2.5189 2.6348
S 0.0000 2.5189 0.0000
S 2.5189 0.0000 0.0000
P 0.0000 0.0000 2.6348

=====

! ZnSbPS2 (SCAN, single point on PBEsol structure); values from VASP
! - Symmetry: No. 123
&SYSTEM
  ibrav = 0, nat = 5, ntyp = 4
/
ATOMIC_SPECIES
Sb 121.76 Sb.upf
Zn 65.41 Zn.upf
S 32.06 S.upf
P 30.97 P.upf
CELL_PARAMETERS angstrom
-3.5210 -2.8964 -1.8147
2.0403 -3.8714 2.2204
-2.8348 0.8670 4.1165
ATOMIC_POSITIONS angstrom
Sb 0.0000 0.0000 0.0000
Zn -2.1578 -2.9504 2.2611
S 1.0201 -1.9357 1.1102
S -1.7605 -1.4482 -0.9074
P -1.4174 0.4335 2.0582

=====

! ScP2SeS (SCAN, single point on PBEsol structure); values from VASP
! - Symmetry: No. 123
&SYSTEM
  ibrav = 0, nat = 5, ntyp = 4
/
ATOMIC_SPECIES
Sc 44.96 Sc.upf
P 30.97 P.upf
S 32.06 S.upf
Se 78.96 Se.upf
CELL_PARAMETERS angstrom
4.6968 0.0000 0.0000
0.0000 4.6302 0.0000
0.0000 0.0000 4.6302
ATOMIC_POSITIONS angstrom
Sc 2.3484 2.3151 2.3151
P 0.0000 0.0000 2.3151
P 0.0000 2.3151 0.0000
S 2.3484 0.0000 0.0000
Se 0.0000 0.0000 0.0000

=====

Sequential uncorrected formation energy output: 0.243; 0.404; 1.305; 0.792; 1.694; 0.009; 0.847; 0.373 eV/atom
Sequential E output: -9.693; -23.233; -25.395; -20.041; -25.626; -18.943; -15.239; -12.576 eV/atom